# DyYMnRu PBE relaxed
data_DyYMnRu
_symmetry_space_group_name_H-M 'F -4 3 m'
_symmetry_Int_Tables_number 216
_symmetry_space_group_name_Hall 'F -4 2 3'
_cell_length_a 6.953
_cell_length_b 6.953
_cell_length_c 6.953
_cell_angle_alpha 90.00
_cell_angle_beta 90.00
_cell_angle_gamma 90.00
loop_
_atom_site_label
_atom_site_type_symbol
_atom_site_fract_x
_atom_site_fract_y
_atom_site_fract_z
Dy1 Dy 0.000 0.000 0.000
Y1 Y 0.000 0.000 0.500
Mn1 Mn 0.250 0.250 0.250
Ru1 Ru 0.250 0.250 0.750
# * ΔE_f: -64 meV/atom